Compound: La2GaBiI
Source: Alexandria
Functional: GGA-PBE
Structure: optimized geometry

Output
* magnetic moment: 0.00 μB per atom
* calculated total energy: -3.685 eV per atom
* crystal system: tetragonal

a b c (Å): 5.9730 5.9730 5.4688
angles (deg): 90.00 90.00 90.00
Space group P4/mmm (No. 123)
Asymmetric unit:
La 0.0000 0.5000 0.0000 x2
Ga 0.0000 0.0000 0.5000 x1
Bi 0.5000 0.5000 0.5000 x1
I 0.0000 0.0000 0.0000 x1

Compound: Li2GaBiI6
Source: Alexandria
Functional: GGA-PBE
Structure: optimized geometry

Output
* magnetic moment: 0.00 μB per atom
* calculated total energy: -2.707 eV per atom
* crystal system: trigonal

a b c (Å): 7.7604 7.7604 21.4595
angles (deg): 90.00 90.00 120.00
Space group R3 (No. 146, hexagonal axes)
Asymmetric unit:
Li 0.0000 0.0000 0.0000 x3
Li 0.0000 0.0000 0.4895 x3
Ga 0.0000 0.0000 0.3074 x3
Bi 0.0000 0.0000 0.8143 x3
I 0.0197 0.3402 0.0728 x9
I 0.0444 0.7046 0.5705 x9

Compound: MgGa2BiI
Source: Alexandria
Functional: GGA-PBE
Structure: optimized geometry

Output
* magnetic moment: 0.00 μB per atom
* calculated total energy: -1.960 eV per atom
* crystal system: tetragonal

a b c (Å): 5.8218 5.8218 6.0421
angles (deg): 90.00 90.00 90.00
Space group P4/mmm (No. 123)
Asymmetric unit:
Mg 0.0000 0.0000 0.0000 x1
Ga 0.0000 0.5000 0.5000 x2
Bi 0.5000 0.5000 0.0000 x1
I 0.5000 0.5000 0.5000 x1

Compound: GaBiI2N
Source: Alexandria
Functional: GGA-PBE
Structure: optimized geometry

Output
* magnetic moment: 0.05 μB per atom
* calculated total energy: -3.145 eV per atom
* excess energy over the best structure of this formula in the dataset: 51 meV per atom
* crystal system: tetragonal

a b c (Å): 6.4174 6.4174 4.2774
angles (deg): 90.00 90.00 90.00
Space group P4/mmm (No. 123)
Asymmetric unit:
Ga 0.0000 0.0000 0.0000 x1
Bi 0.5000 0.5000 0.5000 x1
I 0.0000 0.5000 0.5000 x2
N 0.5000 0.5000 0.0000 x1

Compound: GaBiI2N
Source: Alexandria
Functional: GGA-PBE
Structure: optimized geometry

Output
* magnetic moment: 0.09 μB per atom
* calculated total energy: -3.196 eV per atom
* excess energy over the best structure of this formula in the dataset: 0 meV per atom
* crystal system: tetragonal

a b c (Å): 6.0903 6.0903 3.6005
angles (deg): 90.00 90.00 90.00
Space group P4/mmm (No. 123)
Asymmetric unit:
Ga 0.0000 0.0000 0.0000 x1
Bi 0.5000 0.5000 0.5000 x1
I 0.0000 0.5000 0.0000 x2
N 0.0000 0.0000 0.5000 x1

Compound: Nb2GaBiI
Source: Alexandria
Functional: GGA-PBE
Structure: optimized geometry

Output
* magnetic moment: 1.36 μB per atom
* calculated total energy: -4.250 eV per atom
* crystal system: tetragonal

a b c (Å): 5.5520 5.5520 5.7488
angles (deg): 90.00 90.00 90.00
Space group P4/mmm (No. 123)
Asymmetric unit:
Nb 0.0000 0.5000 0.0000 x2
Ga 0.0000 0.0000 0.5000 x1
Bi 0.0000 0.0000 0.0000 x1
I 0.5000 0.5000 0.5000 x1

Question: Which of these has the lowest calculated total energy?
Answer: Nb2GaBiI